(1)
This record from the Alexandria database describes Pm3Te2P after structural relaxation. The functional is PBE.

Energy relative to the elements, uncorrected   -1.5326 eV/atom
Raw total energy   -5.857 eV per atom
Fermi-level density of states   2.8 states/eV/f.u.

a = 7.4874 Å, b = 12.9380 Å, c = 7.6776 Å
α = 90.00°, β = 108.96°, γ = 90.00°
Space group C2/m (No. 12)
Asymmetric unit:
Pm 0.2140 0.0000 0.2157 x4
Pm 0.2467 0.1786 0.7792 x8
Te 0.0000 0.0000 0.5000 x2
Te 0.0000 0.3412 0.5000 x4
Te 0.0000 0.5000 0.0000 x2
P 0.0000 0.1681 0.0000 x4

---

(2)
This record from the Alexandria database describes Pm6TeP5 after structural relaxation. The functional is PBE.

Energy relative to the elements, uncorrected   -1.5683 eV/atom
Raw total energy   -6.460 eV per atom
Fermi-level density of states   2.6 states/eV/f.u.

a = 7.2645 Å, b = 12.5588 Å, c = 7.2564 Å
α = 90.00°, β = 109.53°, γ = 90.00°
Space group C2/m (No. 12)
Asymmetric unit:
Pm 0.2361 0.0000 0.2594 x4
Pm 0.2379 0.1755 0.7411 x8
Te 0.0000 0.5000 0.0000 x2
P 0.0000 0.0000 0.5000 x2
P 0.0000 0.1673 0.0000 x4
P 0.0000 0.3376 0.5000 x4